Here is a relaxed K3Mg2ZrS6 crystal from the Alexandria database. Energies are from GGA-PBE.

Calculated values
As for the total energy: -4.601 eV per atom.

```
data_K3Mg2ZrS6
_cell_length_a 6.633
_cell_length_b 11.491
_cell_length_c 7.701
_cell_angle_alpha 90.00
_cell_angle_beta 106.68
_cell_angle_gamma 90.00
_space_group_name_H-M_alt 'C 1 2/m 1'
_space_group_IT_number 12
_space_group_name_Hall '-C 2y'
loop_
_atom_site_label
_atom_site_type_symbol
_atom_site_fract_x
_atom_site_fract_y
_atom_site_fract_z
K1 K 0.000 0.000 0.000
K2 K 0.000 0.332 0.000
Mg1 Mg 0.000 0.166 0.500
Zr1 Zr 0.000 0.500 0.500
S1 S 0.228 0.336 0.694
S2 S 0.238 0.000 0.694
```

---

Here is a relaxed MgCoI crystal from the Alexandria database. Energies are from GGA-PBE.

Calculated values
As for the total energy: -3.463 eV per atom. The value obtained for the energy relative to the lowest polymorph listed for this composition is 202 meV/atom.

```
data_MgCoI
_cell_length_a 3.878
_cell_length_b 4.778
_cell_length_c 9.901
_cell_angle_alpha 96.08
_cell_angle_beta 92.13
_cell_angle_gamma 113.89
_space_group_name_H-M_alt 'P 1'
_space_group_IT_number 1
_space_group_name_Hall 'P 1'
loop_
_atom_site_label
_atom_site_type_symbol
_atom_site_fract_x
_atom_site_fract_y
_atom_site_fract_z
Mg1 Mg 0.000 0.000 0.000
Mg2 Mg 0.307 0.654 0.786
Co1 Co 0.291 0.574 0.041
Co2 Co 0.693 0.401 0.922
I1 I 0.556 0.181 0.632
I2 I 0.845 0.647 0.228
```

---

Here is a relaxed CdPbF2 crystal from the Alexandria database. Energies are from GGA-PBE.

Calculated values
As for the total energy: -3.465 eV per atom. The value obtained for the energy relative to the lowest polymorph listed for this composition is 184 meV/atom.

```
data_CdPbF2
_cell_length_a 6.618
_cell_length_b 6.618
_cell_length_c 6.618
_cell_angle_alpha 90.00
_cell_angle_beta 90.00
_cell_angle_gamma 90.00
_space_group_name_H-M_alt 'F m -3 m'
_space_group_IT_number 225
_space_group_name_Hall '-F 4 2 3'
loop_
_atom_site_label
_atom_site_type_symbol
_atom_site_fract_x
_atom_site_fract_y
_atom_site_fract_z
Cd1 Cd 0.000 0.000 0.000
Pb1 Pb 0.000 0.000 0.500
F1 F 0.250 0.250 0.250
```